# 1
HoZn2Cu9: optimized geometry, GGA-PBE.

Energy (eV/atom): -3.758
Excess energy over the best structure of this formula in the dataset (meV per atom): 21
ρ (Mg/m³): 8.520
Formation enthalpy at 0 K (meV/atom): -91.8
Magnetization (μB per formula unit): 0.00

Geometry as CIF:
```
data_HoZn2Cu9
_chemical_formula_sum 'Ho3 Zn6 Cu27'
_cell_length_a 4.9925
_cell_length_b 4.9925
_cell_length_c 23.5020
_cell_angle_alpha 90.00
_cell_angle_beta 90.00
_cell_angle_gamma 120.00
_space_group_name_H-M_alt 'R -3 m'
_space_group_IT_number 166
_space_group_name_Hall '-R 3 2"'
loop_
_atom_site_label
_atom_site_fract_x
_atom_site_fract_y
_atom_site_fract_z
_atom_site_occupancy
Ho1 0.0000 0.0000 0.0000 1
Zn1 0.0000 0.0000 0.1459 1
Cu1 0.0000 0.0000 0.3338 1
Cu2 0.0000 0.0000 0.5000 1
Cu3 0.0055 0.5028 0.9137 1
```

---

# 2
Ho3Zn4Cu4: optimized geometry, GGA-PBE.

Energy (eV/atom): -3.487
ρ (Mg/m³): 8.394
Formation enthalpy at 0 K (meV/atom): -285.9
Magnetization (μB per formula unit): 0.00

Geometry as CIF:
```
data_Ho3Zn4Cu4
_chemical_formula_sum 'Ho3 Zn4 Cu4'
_cell_length_a 3.595
_cell_length_b 4.191
_cell_length_c 13.541
_cell_angle_alpha 81.31
_cell_angle_beta 82.48
_cell_angle_gamma 89.93
_space_group_name_H-M_alt 'P -1'
_space_group_IT_number 2
loop_
_space_group_symop_operation_xyz
'x,y,z'
'-x,-y,-z'
loop_
_atom_site_label
_atom_site_fract_x
_atom_site_fract_y
_atom_site_fract_z
_atom_site_occupancy
Ho1 0.000 0.000 0.000 1
Ho2 0.148 0.646 0.708 1
Zn1 0.256 0.257 0.489 1
Zn2 0.402 0.905 0.191 1
Cu1 0.310 0.813 0.377 1
Cu2 0.451 0.453 0.094 1
```

---

# 3
Ho2Zn5Cu5: optimized geometry, GGA-PBE.

Energy (eV/atom): -3.289
Excess energy over the best structure of this formula in the dataset (meV per atom): 0
ρ (Mg/m³): 8.507
Formation enthalpy at 0 K (meV/atom): -288.1
Magnetization (μB per formula unit): 0.00

Geometry as CIF:
```
data_Ho2Zn5Cu5
_chemical_formula_sum 'Ho2 Zn5 Cu5'
_cell_length_a 4.178
_cell_length_b 5.137
_cell_length_c 8.865
_cell_angle_alpha 90.00
_cell_angle_beta 90.00
_cell_angle_gamma 90.00
_space_group_name_H-M_alt 'P m m m'
_space_group_IT_number 47
loop_
_space_group_symop_operation_xyz
'x,y,z'
'-x,-y,-z'
'-x,-y,z'
'x,y,-z'
'x,-y,-z'
'-x,y,z'
'-x,y,-z'
'x,-y,z'
loop_
_atom_site_label
_atom_site_fract_x
_atom_site_fract_y
_atom_site_fract_z
_atom_site_occupancy
Ho1 0.000 0.000 0.000 1
Ho2 0.000 0.500 0.500 1
Zn1 0.500 0.000 0.500 1
Zn2 0.500 0.251 0.245 1
Cu1 0.000 0.000 0.334 1
Cu2 0.000 0.500 0.163 1
Cu3 0.500 0.500 0.000 1
```

---

# 4
HoZn4Cu: optimized geometry, GGA-PBE.

Energy (eV/atom): -2.408
Excess energy over the best structure of this formula in the dataset (meV per atom): 121
ρ (Mg/m³): 8.081
Formation enthalpy at 0 K (meV/atom): -112.6
Magnetization (μB per formula unit): 0.00

Geometry as CIF:
```
data_HoZn4Cu
_chemical_formula_sum 'Ho4 Zn16 Cu4'
_cell_length_a 7.385
_cell_length_b 7.385
_cell_length_c 7.385
_cell_angle_alpha 90.00
_cell_angle_beta 90.00
_cell_angle_gamma 90.00
_space_group_name_H-M_alt 'F -4 3 m'
_space_group_IT_number 216
_space_group_name_Hall 'F -4 2 3'
loop_
_atom_site_label
_atom_site_fract_x
_atom_site_fract_y
_atom_site_fract_z
_atom_site_occupancy
Ho1 0.000 0.000 0.000 1
Zn1 0.125 0.125 0.625 1
Cu1 0.250 0.250 0.250 1
```

---

# 5
HoZn3Cu: optimized geometry, GGA-PBE.

Energy (eV/atom): -2.767
ρ (Mg/m³): 8.026
Formation enthalpy at 0 K (meV/atom): -268.3
Magnetization (μB per formula unit): 0.00

Geometry as CIF:
```
data_HoZn3Cu
_chemical_formula_sum 'Ho4 Zn12 Cu4'
_cell_length_a 5.639
_cell_length_b 11.029
_cell_length_c 5.651
_cell_angle_alpha 90.00
_cell_angle_beta 90.00
_cell_angle_gamma 90.00
_space_group_name_H-M_alt 'C m c m'
_space_group_IT_number 63
_space_group_name_Hall '-C 2c 2'
loop_
_atom_site_label
_atom_site_fract_x
_atom_site_fract_y
_atom_site_fract_z
_atom_site_occupancy
Ho1 0.000 0.248 0.250 1
Zn1 0.000 0.139 0.750 1
Zn2 0.240 0.500 0.000 1
Cu1 0.000 0.357 0.750 1
```

---

# 6
Ho2ZnCu3: optimized geometry, GGA-PBE.

Energy (eV/atom): -4.069
Excess energy over the best structure of this formula in the dataset (meV per atom): 0
ρ (Mg/m³): 8.720
Formation enthalpy at 0 K (meV/atom): -283.0
Magnetization (μB per formula unit): 0.00

Geometry as CIF:
```
data_Ho2ZnCu3
_chemical_formula_sum 'Ho16 Zn8 Cu24'
_cell_length_a 6.955
_cell_length_b 8.679
_cell_length_c 14.787
_cell_angle_alpha 90.00
_cell_angle_beta 90.00
_cell_angle_gamma 90.00
_space_group_name_H-M_alt 'F m m m'
_space_group_IT_number 69
_space_group_name_Hall '-F 2 2'
loop_
_atom_site_label
_atom_site_fract_x
_atom_site_fract_y
_atom_site_fract_z
_atom_site_occupancy
Ho1 0.246 0.000 0.000 1
Ho2 0.250 0.250 0.250 1
Zn1 0.000 0.000 0.333 1
Cu1 0.000 0.000 0.165 1
Cu2 0.000 0.250 0.084 1
```